# 1
# PBE Tm2Ga5Ru2Rh, relaxed
# Calculated density: 9.45 g cm⁻³
# Calculated formation energy: -0.447 eV per atom
# Raw total energy: -5.45 eV/atom
# D(E_F): 6.5 states/eV/f.u.
data_Tm2Ga5Ru2Rh
_chemical_formula_sum 'Tm4 Ga10 Ru4 Rh2'
_symmetry_space_group_name_H-M 'P 4/m b m'
_symmetry_Int_Tables_number 127
_symmetry_space_group_name_Hall '-P 4 2ab'
_cell_length_a 9.5395
_cell_length_b 9.5395
_cell_length_c 3.8299
_cell_angle_alpha 90.00
_cell_angle_beta 90.00
_cell_angle_gamma 90.00
loop_
_atom_site_label
_atom_site_fract_x
_atom_site_fract_y
_atom_site_fract_z
Tm1 0.1793 0.3207 0.0000
Ga1 0.0000 0.5000 0.5000
Ga2 0.0579 0.8042 0.5000
Ru1 0.1196 0.6196 0.0000
Rh1 0.0000 0.0000 0.0000

# 2
# PBE TmGa4Ru2Rh, relaxed
# Calculated density: 9.65 g cm⁻³
# Calculated formation energy: -0.506 eV per atom
# Raw total energy: -5.82 eV/atom
# D(E_F): 3.5 states/eV/f.u.
data_TmGa4Ru2Rh
_chemical_formula_sum 'Tm3 Ga12 Ru6 Rh3'
_symmetry_space_group_name_H-M 'R -3 m'
_symmetry_Int_Tables_number 166
_symmetry_space_group_name_Hall '-R 3 2"'
_cell_length_a 4.2533
_cell_length_b 4.2533
_cell_length_c 24.7974
_cell_angle_alpha 90.00
_cell_angle_beta 90.00
_cell_angle_gamma 120.00
loop_
_atom_site_label
_atom_site_fract_x
_atom_site_fract_y
_atom_site_fract_z
Tm1 0.0000 0.0000 0.0000
Ga1 0.0000 0.0000 0.1308
Ga2 0.0000 0.0000 0.3971
Ru1 0.0000 0.0000 0.2414
Rh1 0.0000 0.0000 0.5000

# 3
# PBE YGa4Ru2Rh, relaxed
# Calculated density: 8.45 g cm⁻³
# Calculated formation energy: -0.515 eV per atom
# Raw total energy: -6.07 eV/atom
# D(E_F): 3.9 states/eV/f.u.
data_YGa4Ru2Rh
_chemical_formula_sum 'Y3 Ga12 Ru6 Rh3'
_symmetry_space_group_name_H-M 'R -3 m'
_symmetry_Int_Tables_number 166
_symmetry_space_group_name_Hall '-R 3 2"'
_cell_length_a 4.2549
_cell_length_b 4.2549
_cell_length_c 25.2911
_cell_angle_alpha 90.00
_cell_angle_beta 90.00
_cell_angle_gamma 120.00
loop_
_atom_site_label
_atom_site_fract_x
_atom_site_fract_y
_atom_site_fract_z
Y1 0.0000 0.0000 0.0000
Ga1 0.0000 0.0000 0.1310
Ga2 0.0000 0.0000 0.3993
Ru1 0.0000 0.0000 0.2390
Rh1 0.0000 0.0000 0.5000

# 4
# PBE Y2Ga5Ru2Rh, relaxed
# Calculated density: 7.82 g cm⁻³
# Calculated formation energy: -0.450 eV per atom
# Raw total energy: -5.85 eV/atom
# D(E_F): 5.1 states/eV/f.u.
data_Y2Ga5Ru2Rh
_chemical_formula_sum 'Y4 Ga10 Ru4 Rh2'
_symmetry_space_group_name_H-M 'P 4/m b m'
_symmetry_Int_Tables_number 127
_symmetry_space_group_name_Hall '-P 4 2ab'
_cell_length_a 10.5144
_cell_length_b 10.5144
_cell_length_c 3.1925
_cell_angle_alpha 90.00
_cell_angle_beta 90.00
_cell_angle_gamma 90.00
loop_
_atom_site_label
_atom_site_fract_x
_atom_site_fract_y
_atom_site_fract_z
Y1 0.1816 0.3184 0.0000
Ga1 0.0000 0.5000 0.5000
Ga2 0.0543 0.8093 0.5000
Ru1 0.1285 0.6285 0.0000
Rh1 0.0000 0.0000 0.0000

# 5
# PBE YGaRuRh2, relaxed
# Calculated density: 6.54 g cm⁻³
# Calculated formation energy: 1.366 eV per atom
# Raw total energy: -5.33 eV/atom
# D(E_F): 5.7 states/eV/f.u.
data_YGaRuRh2
_chemical_formula_sum 'Y1 Ga1 Ru1 Rh2'
_symmetry_space_group_name_H-M 'P 4/m m m'
_symmetry_Int_Tables_number 123
_symmetry_space_group_name_Hall '-P 4 2'
_cell_length_a 4.8947
_cell_length_b 4.8947
_cell_length_c 4.9361
_cell_angle_alpha 90.00
_cell_angle_beta 90.00
_cell_angle_gamma 90.00
loop_
_atom_site_label
_atom_site_fract_x
_atom_site_fract_y
_atom_site_fract_z
Y1 0.0000 0.0000 0.0000
Ga1 0.5000 0.5000 0.5000
Ru1 0.0000 0.0000 0.5000
Rh1 0.0000 0.5000 0.0000

# 6
# PBE Y2Ga5RuRh2, relaxed
# Calculated density: 7.82 g cm⁻³
# Calculated formation energy: -0.551 eV per atom
# Raw total energy: -5.75 eV/atom
# D(E_F): 5.5 states/eV/f.u.
data_Y2Ga5RuRh2
_chemical_formula_sum 'Y4 Ga10 Ru2 Rh4'
_symmetry_space_group_name_H-M 'P 4/m b m'
_symmetry_Int_Tables_number 127
_symmetry_space_group_name_Hall '-P 4 2ab'
_cell_length_a 9.5085
_cell_length_b 9.5085
_cell_length_c 3.9126
_cell_angle_alpha 90.00
_cell_angle_beta 90.00
_cell_angle_gamma 90.00
loop_
_atom_site_label
_atom_site_fract_x
_atom_site_fract_y
_atom_site_fract_z
Y1 0.1805 0.3195 0.0000
Ga1 0.0000 0.5000 0.5000
Ga2 0.0546 0.8054 0.5000
Ru1 0.0000 0.0000 0.0000
Rh1 0.1183 0.6183 0.0000